Entry 1:
Sr3Ga3Au8 | PBE-GGA | optimized geometry

a b c (Å): 4.6984 8.7970 8.8981
angles (deg): 63.15 74.69 74.51
Last column: nearest neighbours and their distance in Å.
Fractional coordinates of all 14 atoms:
Au (0.1189, 0.1650, 0.5972)  1 Ga 2.61, 2 Au 2.86
Au (0.1401, 0.5680, 0.1519)  4 Ga 2.67-2.80
Au (0.8599, 0.4320, 0.8481)  4 Ga 2.67-2.80
Au (0.4883, 0.3317, 0.6916)  3 Ga 2.73-2.89, 5 Au 2.96-3.02
Au (0.3529, 0.0350, 0.2592)  1 Ga 2.58, 2 Au 2.86
Au (0.6471, 0.9650, 0.7408)  1 Ga 2.58, 2 Au 2.86
Au (0.5117, 0.6683, 0.3084)  3 Ga 2.73-2.89, 5 Au 2.96-3.02
Au (0.8811, 0.8350, 0.4028)  1 Ga 2.61, 2 Au 2.86
Sr (0.7060, 0.2650, 0.3230)  10 Au 3.18-3.44, 3 Ga 3.41-3.44
Sr (0.2940, 0.7350, 0.6770)  10 Au 3.18-3.44, 3 Ga 3.41-3.44
Sr (0.0000, 0.0000, 0.0000)  8 Au 3.15-3.35
Ga (0.0000, 0.5000, 0.5000)  8 Au 2.61-2.89
Ga (0.3281, 0.3358, 0.0081)  5 Au 2.58-2.73
Ga (0.6719, 0.6642, 0.9919)  5 Au 2.58-2.73

Summary:
* crystal system: monoclinic
* total energy: -48.5 eV/cell
* symmetry: C2/m (12)
* volume: 311.8 Å³/cell


Entry 2:
SrGa3Au5 | PBE-GGA | optimized geometry

a b c (Å): 4.0708 7.0921 13.8383
angles (deg): 90.00 90.00 106.68
Last column: nearest neighbours and their distance in Å.
Fractional coordinates of all 18 atoms:
Au (0.8039, 0.6079, 0.0921)  4 Ga 2.51-2.76
Au (0.4839, 0.9678, 0.3496)  4 Ga 2.64-2.90, 3 Au 2.76-2.92
Au (0.4839, 0.9678, 0.1504)  4 Ga 2.64-2.90, 3 Au 2.76-2.92
Au (0.5161, 0.0322, 0.6504)  4 Ga 2.64-2.90, 3 Au 2.76-2.92
Au (0.1961, 0.3921, 0.5921)  4 Ga 2.51-2.76
Au (0.8039, 0.6079, 0.4079)  4 Ga 2.51-2.76
Au (0.5161, 0.0322, 0.8496)  4 Ga 2.64-2.90, 3 Au 2.76-2.92
Au (0.1961, 0.3921, 0.9079)  4 Ga 2.51-2.76
Au (0.0000, 0.0000, 0.5000)  4 Ga 2.73, 6 Au 2.92-2.95
Au (0.0000, 0.0000, 0.0000)  4 Ga 2.73, 6 Au 2.92-2.95
Ga (0.3685, 0.7370, 0.9738)  6 Au 2.51-2.76
Ga (0.3685, 0.7370, 0.5262)  6 Au 2.51-2.76
Ga (0.6315, 0.2630, 0.4738)  6 Au 2.51-2.76
Ga (0.9030, 0.8061, 0.2500)  6 Au 2.57-2.69
Ga (0.0970, 0.1939, 0.7500)  6 Au 2.57-2.69
Ga (0.6315, 0.2630, 0.0262)  6 Au 2.51-2.76
Sr (0.8276, 0.6552, 0.7500)  8 Au 3.48-3.55, 7 Ga 3.66-3.75
Sr (0.1724, 0.3448, 0.2500)  8 Au 3.48-3.55, 7 Ga 3.66-3.75

Summary:
* crystal system: orthorhombic
* total energy: -61.4 eV/cell
* symmetry: Cmcm (63)
* volume: 382.7 Å³/cell


Entry 3:
SrGaAu2 | PBE-GGA | optimized geometry

a b c (Å): 6.2499 7.2768 8.0273
angles (deg): 90.00 90.00 90.00
Last column: nearest neighbours and their distance in Å.
Fractional coordinates of all 16 atoms:
Ga (0.8586, 0.2500, 0.8707)  6 Au 2.65-2.90
Ga (0.1414, 0.7500, 0.1293)  6 Au 2.65-2.90
Ga (0.3586, 0.7500, 0.6293)  6 Au 2.65-2.90
Ga (0.6414, 0.2500, 0.3707)  6 Au 2.65-2.90
Au (0.0826, 0.9464, 0.8180)  3 Ga 2.65-2.90, 1 Au 2.86
Au (0.9174, 0.4464, 0.1820)  3 Ga 2.65-2.90, 1 Au 2.86
Au (0.0826, 0.5536, 0.8180)  3 Ga 2.65-2.90, 1 Au 2.86
Au (0.4174, 0.5536, 0.3180)  3 Ga 2.65-2.90, 1 Au 2.86
Au (0.5826, 0.4464, 0.6820)  3 Ga 2.65-2.90, 1 Au 2.86
Au (0.4174, 0.9464, 0.3180)  3 Ga 2.65-2.90, 1 Au 2.86
Au (0.5826, 0.0536, 0.6820)  3 Ga 2.65-2.90, 1 Au 2.86
Au (0.9174, 0.0536, 0.1820)  3 Ga 2.65-2.90, 1 Au 2.86
Sr (0.8528, 0.7500, 0.4765)  8 Au 3.23-3.41, 3 Ga 3.32-3.39
Sr (0.1472, 0.2500, 0.5235)  8 Au 3.23-3.41, 3 Ga 3.32-3.39
Sr (0.6472, 0.7500, 0.9765)  8 Au 3.23-3.41, 3 Ga 3.32-3.39
Sr (0.3528, 0.2500, 0.0235)  8 Au 3.23-3.41, 3 Ga 3.32-3.39

Summary:
* crystal system: orthorhombic
* total energy: -55.0 eV/cell
* symmetry: Pnma (62)
* volume: 365.1 Å³/cell


Entry 4:
Sr3Ga5Au6 | PBE-GGA | optimized geometry

a b c (Å): 4.6036 9.5244 13.8910
angles (deg): 90.00 90.00 90.00
Last column: nearest neighbours and their distance in Å.
Fractional coordinates of all 28 atoms:
Au (0.0000, 0.6250, 0.6649)  4 Ga 2.66-2.94, 1 Au 2.88
Au (0.5000, 0.5581, 0.0000)  2 Au 2.88, 6 Ga 2.90-2.99
Au (0.0000, 0.0504, 0.5000)  4 Ga 2.75-3.02, 4 Au 2.97
Au (0.5000, 0.3750, 0.8351)  4 Ga 2.66-2.94, 1 Au 2.88
Au (0.5000, 0.3750, 0.1649)  4 Ga 2.66-2.94, 1 Au 2.88
Au (0.5000, 0.9496, 0.0000)  4 Ga 2.75-3.02, 4 Au 2.97
Au (0.0000, 0.4419, 0.5000)  2 Au 2.88, 6 Ga 2.90-2.99
Au (0.0000, 0.6250, 0.3351)  4 Ga 2.66-2.94, 1 Au 2.88
Au (0.5000, 0.0322, 0.6340)  4 Ga 2.65-2.83, 2 Au 2.97
Au (0.0000, 0.9678, 0.8660)  4 Ga 2.65-2.83, 2 Au 2.97
Au (0.5000, 0.0322, 0.3660)  4 Ga 2.65-2.83, 2 Au 2.97
Au (0.0000, 0.9678, 0.1340)  4 Ga 2.65-2.83, 2 Au 2.97
Ga (0.0000, 0.7438, 0.0000)  2 Ga 2.81, 6 Au 2.83-3.02
Ga (0.5000, 0.2562, 0.5000)  2 Ga 2.81, 6 Au 2.83-3.02
Ga (0.5000, 0.4751, 0.3648)  5 Au 2.74-2.99, 1 Ga 2.81
Ga (0.0000, 0.9041, 0.6706)  5 Au 2.65-2.78
Ga (0.5000, 0.4751, 0.6352)  5 Au 2.74-2.99, 1 Ga 2.81
Ga (0.0000, 0.9041, 0.3294)  5 Au 2.65-2.78
Ga (0.0000, 0.5249, 0.8648)  5 Au 2.74-2.99, 1 Ga 2.81
Ga (0.5000, 0.0959, 0.1706)  5 Au 2.65-2.78
Ga (0.5000, 0.0959, 0.8294)  5 Au 2.65-2.78
Ga (0.0000, 0.5249, 0.1352)  5 Au 2.74-2.99, 1 Ga 2.81
Sr (0.5000, 0.7572, 0.5000)  6 Au 3.21-3.48, 6 Ga 3.28-3.59
Sr (0.0000, 0.2546, 0.3034)  7 Au 3.21-3.56, 8 Ga 3.23-3.57
Sr (0.5000, 0.7454, 0.1966)  7 Au 3.21-3.56, 8 Ga 3.23-3.57
Sr (0.0000, 0.2546, 0.6966)  7 Au 3.21-3.56, 8 Ga 3.23-3.57
Sr (0.0000, 0.2428, 0.0000)  6 Au 3.21-3.48, 6 Ga 3.28-3.59
Sr (0.5000, 0.7454, 0.8034)  7 Au 3.21-3.56, 8 Ga 3.23-3.57

Summary:
* crystal system: orthorhombic
* total energy: -95.3 eV/cell
* symmetry: Pmmn (59)
* volume: 609.1 Å³/cell


Entry 5:
Sr4GaAu | PBE-GGA | optimized geometry

a b c (Å): 7.3914 8.5075 9.0546
angles (deg): 113.36 108.90 100.34
Last column: nearest neighbours and their distance in Å.
Fractional coordinates of all 12 atoms:
Sr (0.6471, 0.0545, 0.3619)  2 Ga 3.36-3.45, 2 Au 3.43-3.46
Sr (0.6203, 0.3589, 0.1139)  2 Au 3.23-3.26, 2 Ga 3.31-3.49
Sr (0.9936, 0.7550, 0.1139)  2 Au 3.23-3.26, 2 Ga 3.31-3.49
Sr (0.2147, 0.3074, 0.3619)  2 Ga 3.36-3.45, 2 Au 3.43-3.46
Sr (0.0064, 0.2450, 0.8861)  2 Au 3.23-3.26, 2 Ga 3.31-3.49
Sr (0.7853, 0.6926, 0.6381)  2 Ga 3.36-3.45, 2 Au 3.43-3.46
Sr (0.3529, 0.9455, 0.6381)  2 Ga 3.36-3.45, 2 Au 3.43-3.46
Sr (0.3797, 0.6411, 0.8861)  2 Au 3.23-3.26, 2 Ga 3.31-3.49
Au (0.7539, 0.0039, 0.0078)  8 Sr 3.23-3.46
Au (0.2461, 0.9961, 0.9922)  8 Sr 3.23-3.46
Ga (0.6146, 0.3646, 0.7293)  8 Sr 3.31-3.49
Ga (0.3854, 0.6354, 0.2707)  8 Sr 3.31-3.49

Summary:
* crystal system: monoclinic
* total energy: -30.8 eV/cell
* symmetry: C2/c (15)
* volume: 462.4 Å³/cell


Entry 6:
Sr3Ga6Au5 | PBE-GGA | optimized geometry

a b c (Å): 4.4686 10.8727 13.0194
angles (deg): 90.00 90.00 90.00
Last column: nearest neighbours and their distance in Å.
Fractional coordinates of all 28 atoms:
Au (0.5000, 0.4785, 0.3826)  5 Ga 2.66-2.75
Au (0.5000, 0.1160, 0.5000)  4 Ga 2.62-2.63
Au (0.0000, 0.5215, 0.8826)  5 Ga 2.66-2.75
Au (0.0000, 0.5215, 0.1174)  5 Ga 2.66-2.75
Au (0.5000, 0.4785, 0.6174)  5 Ga 2.66-2.75
Au (0.0000, 0.8465, 0.3312)  5 Ga 2.69-2.73
Au (0.0000, 0.8840, 0.0000)  4 Ga 2.62-2.63
Au (0.5000, 0.1535, 0.8312)  5 Ga 2.69-2.73
Au (0.0000, 0.8465, 0.6688)  5 Ga 2.69-2.73
Au (0.5000, 0.1535, 0.1688)  5 Ga 2.69-2.73
Ga (0.5000, 0.4006, 0.1886)  4 Au 2.66-2.75, 1 Ga 2.76
Ga (0.0000, 0.5994, 0.6886)  4 Au 2.66-2.75, 1 Ga 2.76
Ga (0.5000, 0.9915, 0.6731)  4 Au 2.63-2.73
Ga (0.5000, 0.4006, 0.8114)  4 Au 2.66-2.75, 1 Ga 2.76
Ga (0.5000, 0.9915, 0.3269)  4 Au 2.63-2.73
Ga (0.0000, 0.0085, 0.8269)  4 Au 2.63-2.73
Ga (0.0000, 0.4840, 0.5000)  4 Au 2.71, 2 Ga 2.76
Ga (0.0000, 0.9897, 0.5000)  4 Au 2.62-2.69
Ga (0.0000, 0.5994, 0.3114)  4 Au 2.66-2.75, 1 Ga 2.76
Ga (0.5000, 0.5160, 0.0000)  4 Au 2.71, 2 Ga 2.76
Ga (0.5000, 0.0103, 0.0000)  4 Au 2.62-2.69
Ga (0.0000, 0.0085, 0.1731)  4 Au 2.63-2.73
Sr (0.0000, 0.2472, 0.6613)  6 Au 3.31-3.41, 7 Ga 3.32-3.57
Sr (0.5000, 0.7474, 0.5000)  6 Au 3.30-3.31, 10 Ga 3.45-3.69
Sr (0.0000, 0.2526, 0.0000)  6 Au 3.30-3.31, 10 Ga 3.45-3.69
Sr (0.0000, 0.2472, 0.3387)  6 Au 3.31-3.41, 7 Ga 3.32-3.57
Sr (0.5000, 0.7528, 0.8387)  6 Au 3.31-3.41, 7 Ga 3.32-3.57
Sr (0.5000, 0.7528, 0.1613)  6 Au 3.31-3.41, 7 Ga 3.32-3.57

Summary:
* crystal system: orthorhombic
* total energy: -94.8 eV/cell
* symmetry: Pmmn (59)
* volume: 632.6 Å³/cell


Entry 7:
SrGa2Au4 | PBE-GGA | optimized geometry

a b c (Å): 4.5135 7.2090 18.2299
angles (deg): 90.00 90.00 90.00
Last column: nearest neighbours and their distance in Å.
Fractional coordinates of all 28 atoms:
Au (0.7500, 0.7069, 0.3068)  3 Ga 2.54-2.78
Au (0.7500, 0.4858, 0.5958)  4 Ga 2.60-2.90
Au (0.2500, 0.5142, 0.4042)  4 Ga 2.60-2.90
Au (0.2500, 0.6914, 0.6832)  2 Ga 2.56-2.61
Au (0.7500, 0.1914, 0.8169)  2 Ga 2.56-2.61
Au (0.2500, 0.8086, 0.1831)  2 Ga 2.56-2.61
Au (0.2500, 0.2070, 0.1931)  3 Ga 2.54-2.78
Au (0.7500, 0.3086, 0.3168)  2 Ga 2.56-2.61
Au (0.7500, 0.7291, 0.4651)  2 Ga 2.65, 4 Au 2.89-2.96
Au (0.2500, 0.2291, 0.0349)  2 Ga 2.65, 4 Au 2.89-2.96
Au (0.2500, 0.2931, 0.6932)  3 Ga 2.54-2.78
Au (0.7500, 0.7709, 0.9651)  2 Ga 2.65, 4 Au 2.89-2.96
Au (0.2500, 0.2709, 0.5349)  2 Ga 2.65, 4 Au 2.89-2.96
Au (0.7500, 0.0142, 0.0958)  4 Ga 2.60-2.90
Au (0.7500, 0.7930, 0.8069)  3 Ga 2.54-2.78
Au (0.2500, 0.9858, 0.9042)  4 Ga 2.60-2.90
Ga (0.2500, 0.5132, 0.2615)  5 Au 2.54-2.78
Ga (0.2500, 0.6947, 0.5401)  6 Au 2.61-2.90
Ga (0.2500, 0.8053, 0.0401)  6 Au 2.61-2.90
Ga (0.7500, 0.1947, 0.9599)  6 Au 2.61-2.90
Ga (0.7500, 0.3053, 0.4599)  6 Au 2.61-2.90
Ga (0.7500, 0.0132, 0.2384)  5 Au 2.54-2.78
Ga (0.2500, 0.9868, 0.7616)  5 Au 2.54-2.78
Ga (0.7500, 0.4868, 0.7385)  5 Au 2.54-2.78
Sr (0.7500, 0.5001, 0.1188)  10 Au 3.35-3.74, 5 Ga 3.45-3.64
Sr (0.2500, 0.0001, 0.3812)  10 Au 3.35-3.74, 5 Ga 3.45-3.64
Sr (0.2500, 0.4999, 0.8812)  10 Au 3.35-3.74, 5 Ga 3.45-3.64
Sr (0.7500, 0.9999, 0.6188)  10 Au 3.35-3.74, 5 Ga 3.45-3.64

Summary:
* crystal system: orthorhombic
* total energy: -96.0 eV/cell
* symmetry: Pnma (62)
* volume: 593.2 Å³/cell


Entry 8:
SrGa4Au4 | PBE-GGA | optimized geometry

a b c (Å): 6.5625 6.5625 8.8236
angles (deg): 90.00 90.00 90.00
Last column: nearest neighbours and their distance in Å.
Fractional coordinates of all 18 atoms:
Au (0.0000, 0.7147, 0.6807)  5 Ga 2.63-2.74, 1 Au 2.82
Au (0.2853, 0.0000, 0.3193)  5 Ga 2.63-2.74, 1 Au 2.82
Au (0.5000, 0.7853, 0.8193)  5 Ga 2.63-2.74, 1 Au 2.82
Au (0.5000, 0.2147, 0.8193)  5 Ga 2.63-2.74, 1 Au 2.82
Au (0.7853, 0.5000, 0.1807)  5 Ga 2.63-2.74, 1 Au 2.82
Au (0.2147, 0.5000, 0.1807)  5 Ga 2.63-2.74, 1 Au 2.82
Au (0.0000, 0.2853, 0.6807)  5 Ga 2.63-2.74, 1 Au 2.82
Au (0.7147, 0.0000, 0.3193)  5 Ga 2.63-2.74, 1 Au 2.82
Ga (0.5000, 0.2319, 0.1167)  5 Au 2.63-2.74
Ga (0.0000, 0.2681, 0.3833)  5 Au 2.63-2.74
Ga (0.0000, 0.7319, 0.3833)  5 Au 2.63-2.74
Ga (0.7319, 0.0000, 0.6167)  5 Au 2.63-2.74
Ga (0.5000, 0.7681, 0.1167)  5 Au 2.63-2.74
Ga (0.7681, 0.5000, 0.8833)  5 Au 2.63-2.74
Ga (0.2681, 0.0000, 0.6167)  5 Au 2.63-2.74
Ga (0.2319, 0.5000, 0.8833)  5 Au 2.63-2.74
Sr (0.0000, 0.0000, 0.0000)  4 Au 3.38, 8 Ga 3.76
Sr (0.5000, 0.5000, 0.5000)  4 Au 3.38, 8 Ga 3.76

Summary:
* crystal system: tetragonal
* total energy: -61.4 eV/cell
* symmetry: P4_2/nmc (137)
* volume: 380.0 Å³/cell


Entry 9:
SrGaAu2 | PBE-GGA | optimized geometry

a b c (Å): 5.2503 5.2503 9.2077
angles (deg): 73.43 73.43 90.00
Last column: nearest neighbours and their distance in Å.
Fractional coordinates of all 8 atoms:
Sr (0.0000, 0.0000, 0.0000)  4 Au 3.24
Sr (0.7500, 0.2500, 0.5000)  4 Au 3.24
Au (0.3750, 0.5229, 0.7500)  2 Ga 2.54, 2 Au 2.84
Au (0.2729, 0.6250, 0.2500)  2 Ga 2.54, 2 Au 2.84
Au (0.4771, 0.1250, 0.2500)  2 Ga 2.54, 2 Au 2.84
Au (0.8750, 0.7271, 0.7500)  2 Ga 2.54, 2 Au 2.84
Ga (0.5000, 0.5000, 0.0000)  4 Au 2.54
Ga (0.2500, 0.7500, 0.5000)  4 Au 2.54

Summary:
* crystal system: tetragonal
* total energy: -25.9 eV/cell
* symmetry: I-42d (122)
* volume: 232.3 Å³/cell